1.
Here is a relaxed structure of Be3Pd2Au from Alexandria via LeMat-Bulk. Energies are from GGA-PBE.

```
6
Lattice="-2.3957 -0.7490 1.3382 -1.2555 -0.4675 -2.5093 2.7463 -8.4321 0.1968" Properties=species:S:1:pos:R:3 pbc="T T T"
Pd 0.4744 -7.6701 -0.4207
Be 0.8694 -2.6694 0.0623
Pd -1.3793 -1.9784 -0.5536
Au -0.4524 -4.8243 -0.4871
Be 0.0000 0.0000 0.0000
Be 1.8769 -5.7627 0.1345
```

As for the total DFT energy (no corrections): -4.562 eV per atom. As for the symmetry: P4/mmm. The value obtained for the density of states at the Fermi level is 1.47 states/eV/f.u. The mass density is 10.11 Mg/m³. The calculated formation energy is -0.421 eV/atom.

=====

2.
Here is a relaxed structure of Cd4AsCl3 from Alexandria via LeMat-Bulk. Energies are from GGA-PBE.

```
16
Lattice="7.4939 0.0000 0.0000 0.0000 8.5599 0.0000 0.0000 0.0000 8.4797" Properties=species:S:1:pos:R:3 pbc="T T T"
Cd 1.7091 7.9922 4.2398
Cd 0.4826 3.1218 6.5495
Cl 3.0716 3.1699 6.0868
Cd 4.2296 5.4381 6.1700
Cl 6.8186 5.3900 6.6327
Cl 6.8186 5.3900 1.8470
Cl 3.0716 3.1699 2.3929
Cl 6.8395 2.5306 4.2398
Cd 5.4561 0.5678 0.0000
Cd 2.8011 0.4285 0.0000
Cd 6.5480 8.1314 4.2398
Cd 4.2296 5.4381 2.3097
As 4.1379 7.1870 4.2398
Cl 3.0925 6.0293 0.0000
Cd 0.4826 3.1218 1.9302
As 0.3909 1.3729 0.0000
```

As for the total DFT energy (no corrections): -2.291 eV per atom. As for the symmetry: Pmn2_1. The mass density is 3.85 Mg/m³. For the uncorrected formation energy, the calculation gives -559 meV per atom.